First-principles (GGA-PBE) data for DyEr2HgC after structural relaxation, as listed in Alexandria.

The structure in POSCAR format:
```
DyEr2HgC
1.0
4.834 0.000 0.000
0.000 4.834 0.000
0.000 0.000 4.928
Dy Er Hg C
1 2 1 1
Direct
0.000 0.000 0.000
0.000 0.500 0.500
0.500 0.000 0.500
0.500 0.500 0.000
0.000 0.000 0.500
```

Values from the calculation:
Crystal system: tetragonal
E_tot (eV per cell): -25.21
SG: P4/mmm, No. 123
Energy of formation from the pure elements (eV per atom): -0.3920



First-principles (GGA-PBE) data for Dy2ErInC after structural relaxation, as listed in Alexandria.

The structure in POSCAR format:
```
Dy2ErInC
1.0
4.924 0.000 0.000
0.000 4.924 0.000
0.000 0.000 4.870
Dy Er In C
2 1 1 1
Direct
0.000 0.500 0.000
0.500 0.000 0.000
0.000 0.000 0.500
0.500 0.500 0.500
0.000 0.000 0.000
```

Values from the calculation:
Crystal system: tetragonal
E_tot (eV per cell): -28.30
SG: P4/mmm, No. 123
Energy of formation from the pure elements (eV per atom): -0.5142



First-principles (GGA-PBE) data for DyEr2MgC after structural relaxation, as listed in Alexandria.

The structure in POSCAR format:
```
DyEr2MgC
1.0
4.907 0.000 0.000
0.000 4.907 0.000
0.000 0.000 5.011
Dy Er Mg C
1 2 1 1
Direct
0.000 0.000 0.000
0.000 0.500 0.500
0.500 0.000 0.500
0.500 0.500 0.000
0.000 0.000 0.500
```

Values from the calculation:
Crystal system: tetragonal
E_tot (eV per cell): -25.56
SG: P4/mmm, No. 123
Energy of formation from the pure elements (eV per atom): -0.2018



First-principles (GGA-PBE) data for DyErCO after structural relaxation, as listed in Alexandria.

The structure in POSCAR format:
```
DyErCO
1.0
-1.567 1.624 5.954
1.567 -1.624 5.954
1.567 1.624 -5.954
Dy Er C O
1 1 1 1
Direct
0.000 0.000 0.000
0.754 0.254 0.500
0.346 0.846 0.500
0.591 0.591 0.000
```

Values from the calculation:
Crystal system: orthorhombic
E_tot (eV per cell): -28.34
E_form (uncorrected) (kJ/mol of atoms): -120.4
SG: Imm2, No. 44



First-principles (GGA-PBE) data for Dy2ErOsC2 after structural relaxation, as listed in Alexandria.

The structure in POSCAR format:
```
Dy2ErOsC2
1.0
5.560 0.000 0.000
0.000 10.979 0.000
0.000 0.000 3.694
Dy Er Os C
4 2 2 4
Direct
0.050 0.207 0.000
0.450 0.707 0.500
0.550 0.293 0.500
0.950 0.793 0.000
0.000 0.500 0.500
0.500 0.000 0.000
0.000 0.000 0.500
0.500 0.500 0.000
0.225 0.618 0.000
0.275 0.118 0.500
0.725 0.882 0.500
0.775 0.382 0.000
```

Values from the calculation:
Crystal system: orthorhombic
E_tot (eV per cell): -89.52
SG: Pnnm, No. 58
Energy of formation from the pure elements (eV per atom): -0.2195



First-principles (GGA-PBE) data for DyErPa2C4 after structural relaxation, as listed in Alexandria.

The structure in POSCAR format:
```
DyErPa2C4
1.0
6.180 0.000 0.000
0.000 3.628 0.000
-2.133 0.000 5.909
Dy Er Pa C
1 1 2 4
Direct
0.000 0.000 0.000
0.000 0.500 0.500
0.500 0.000 0.500
0.500 0.500 0.000
0.271 0.000 0.757
0.272 0.500 0.258
0.728 0.500 0.742
0.729 0.000 0.243
```

Values from the calculation:
Crystal system: monoclinic
E_tot (eV per cell): -68.37
SG: P2/m, No. 10
Energy of formation from the pure elements (eV per atom): -0.4145



First-principles (GGA-PBE) data for DyEr2PbC after structural relaxation, as listed in Alexandria.

The structure in POSCAR format:
```
DyEr2PbC
1.0
4.866 0.000 0.000
0.000 4.866 0.000
0.000 0.000 4.920
Dy Er Pb C
1 2 1 1
Direct
0.000 0.000 0.000
0.000 0.500 0.500
0.500 0.000 0.500
0.500 0.500 0.000
0.000 0.000 0.500
```

Values from the calculation:
Crystal system: tetragonal
E_tot (eV per cell): -29.43
SG: P4/mmm, No. 123
Energy of formation from the pure elements (eV per atom): -0.5538



First-principles (GGA-PBE) data for Dy3ErPb2C after structural relaxation, as listed in Alexandria.

The structure in POSCAR format:
```
Dy3ErPb2C
1.0
-2.395 2.413 8.048
2.395 -2.413 8.048
2.395 2.413 -8.048
Dy Er Pb C
3 1 2 1
Direct
0.000 0.000 0.000
0.343 0.843 0.500
0.657 0.157 0.500
0.500 0.500 0.000
0.142 0.642 0.500
0.858 0.358 0.500
0.500 0.000 0.500
```

Values from the calculation:
Crystal system: orthorhombic
E_tot (eV per cell): -38.94
SG: Immm, No. 71
Energy of formation from the pure elements (eV per atom): -0.5617



First-principles (GGA-PBE) data for Dy2Er2Sb2C after structural relaxation, as listed in Alexandria.

The structure in POSCAR format:
```
Dy2Er2Sb2C
1.0
-2.369 2.369 7.877
2.369 -2.369 7.877
2.369 2.369 -7.877
Dy Er Sb C
2 2 2 1
Direct
0.158 0.158 0.000
0.842 0.842 0.000
0.000 0.500 0.500
0.500 0.000 0.500
0.359 0.359 0.000
0.641 0.641 0.000
0.000 0.000 0.000
```

Values from the calculation:
Crystal system: tetragonal
E_tot (eV per cell): -41.40
E_form (uncorrected) (kJ/mol of atoms): -77.2
SG: I4/mmm, No. 139



First-principles (GGA-PBE) data for DyEr3Sb2C after structural relaxation, as listed in Alexandria.

The structure in POSCAR format:
```
DyEr3Sb2C
1.0
-2.373 2.393 7.798
2.373 -2.393 7.798
2.373 2.393 -7.798
Dy Er Sb C
1 3 2 1
Direct
0.000 0.000 0.000
0.344 0.844 0.500
0.500 0.500 0.000
0.656 0.156 0.500
0.143 0.643 0.500
0.857 0.357 0.500
0.500 0.000 0.500
```

Values from the calculation:
Crystal system: orthorhombic
E_tot (eV per cell): -41.10
E_form (uncorrected) (kJ/mol of atoms): -73.6
SG: Immm, No. 71



First-principles (GGA-PBE) data for Dy3ErSb2C after structural relaxation, as listed in Alexandria.

The structure in POSCAR format:
```
Dy3ErSb2C
1.0
-2.373 2.392 7.875
2.373 -2.392 7.875
2.373 2.392 -7.875
Dy Er Sb C
3 1 2 1
Direct
0.000 0.000 0.000
0.342 0.842 0.500
0.658 0.158 0.500
0.500 0.500 0.000
0.142 0.642 0.500
0.858 0.358 0.500
0.500 0.000 0.500
```

Values from the calculation:
Crystal system: orthorhombic
E_tot (eV per cell): -41.35
E_form (uncorrected) (kJ/mol of atoms): -76.0
SG: Immm, No. 71



First-principles (GGA-PBE) data for DyErCSe after structural relaxation, as listed in Alexandria.

The structure in POSCAR format:
```
DyErCSe
1.0
1.857 1.072 6.695
-1.857 1.072 6.695
0.000 -2.145 6.695
Dy Er C Se
1 1 1 1
Direct
0.000 0.000 0.000
0.201 0.201 0.201
0.599 0.599 0.599
0.769 0.769 0.769
```

Values from the calculation:
Crystal system: trigonal
E_tot (eV per cell): -26.34
E_form (uncorrected) (kJ/mol of atoms): -107.8
SG: R3m, No. 160



First-principles (GGA-PBE) data for Dy3ErSn2C after structural relaxation, as listed in Alexandria.

The structure in POSCAR format:
```
Dy3ErSn2C
1.0
-2.380 2.397 7.969
2.380 -2.397 7.969
2.380 2.397 -7.969
Dy Er Sn C
3 1 2 1
Direct
0.000 0.000 0.000
0.341 0.841 0.500
0.659 0.159 0.500
0.500 0.500 0.000
0.140 0.640 0.500
0.860 0.360 0.500
0.500 0.000 0.500
```

Values from the calculation:
Crystal system: orthorhombic
E_tot (eV per cell): -40.34
SG: Immm, No. 71
Energy of formation from the pure elements (eV per atom): -0.6773



First-principles (GGA-PBE) data for DyEr2TlC after structural relaxation, as listed in Alexandria.

The structure in POSCAR format:
```
DyEr2TlC
1.0
4.869 0.000 0.000
0.000 4.869 0.000
0.000 0.000 4.920
Dy Er Tl C
1 2 1 1
Direct
0.000 0.000 0.000
0.000 0.500 0.500
0.500 0.000 0.500
0.500 0.500 0.000
0.000 0.000 0.500
```

Values from the calculation:
Crystal system: tetragonal
E_tot (eV per cell): -27.71
SG: P4/mmm, No. 123
Energy of formation from the pure elements (eV per atom): -0.4784



First-principles (GGA-PBE) data for EuDyC after structural relaxation, as listed in Alexandria.

The structure in POSCAR format:
```
EuDyC
1.0
3.671 0.000 0.000
-1.835 3.179 0.000
0.000 0.000 6.571
Eu Dy C
1 1 1
Direct
0.000 0.000 0.000
0.333 0.667 0.418
0.667 0.333 0.244
```

Values from the calculation:
Crystal system: trigonal
E_tot (eV per cell): -24.23
SG: P3m1, No. 156
Energy of formation from the pure elements (eV per atom): -0.0425



First-principles (GGA-PBE) data for Dy2CF after structural relaxation, as listed in Alexandria.

The structure in POSCAR format:
```
Dy2CF
1.0
1.789 1.033 5.921
-1.789 1.033 5.921
0.000 -2.065 5.921
Dy C F
2 1 1
Direct
0.240 0.240 0.240
0.760 0.760 0.760
0.500 0.500 0.500
0.000 0.000 0.000
```

Values from the calculation:
Crystal system: trigonal
E_tot (eV per cell): -26.52
E_form (uncorrected) (kJ/mol of atoms): -150.1
Energy above the lowest structure with this stoichiometry (meV/atom): 17
SG: R-3m, No. 166



First-principles (GGA-PBE) data for Dy2CF after structural relaxation, as listed in Alexandria.

The structure in POSCAR format:
```
Dy2CF
1.0
6.326 0.000 0.000
0.000 3.617 0.000
-0.040 0.000 6.348
Dy C F
4 2 2
Direct
0.204 0.000 0.332
0.218 0.500 0.837
0.782 0.500 0.163
0.796 0.000 0.668
0.000 0.000 0.000
0.000 0.500 0.500
0.408 0.500 0.177
0.592 0.500 0.823
```

Values from the calculation:
Crystal system: monoclinic
E_tot (eV per cell): -53.18
E_form (uncorrected) (kJ/mol of atoms): -151.7
Energy above the lowest structure with this stoichiometry (meV/atom): 0
SG: P2/m, No. 10



First-principles (GGA-PBE) data for Dy2CF after structural relaxation, as listed in Alexandria.

The structure in POSCAR format:
```
Dy2CF
1.0
1.760 1.016 6.286
-1.760 1.016 6.286
0.000 -2.032 6.286
Dy C F
2 1 1
Direct
0.000 0.000 0.000
0.194 0.194 0.194
0.598 0.598 0.598
0.426 0.426 0.426
```

Values from the calculation:
Crystal system: trigonal
E_tot (eV per cell): -26.23
E_form (uncorrected) (kJ/mol of atoms): -143.1
Energy above the lowest structure with this stoichiometry (meV/atom): 90
SG: R3m, No. 160



First-principles (GGA-PBE) data for Dy3CF3 after structural relaxation, as listed in Alexandria.

The structure in POSCAR format:
```
Dy3CF3
1.0
3.177 1.834 6.501
-3.177 1.834 6.501
0.000 -3.669 6.501
Dy C F
6 2 6
Direct
0.073 0.783 0.430
0.217 0.570 0.927
0.430 0.073 0.783
0.570 0.927 0.217
0.783 0.430 0.073
0.927 0.217 0.570
0.167 0.167 0.167
0.833 0.833 0.833
0.061 0.366 0.690
0.310 0.939 0.634
0.366 0.690 0.061
0.634 0.310 0.939
0.690 0.061 0.366
0.939 0.634 0.310
```

Values from the calculation:
Crystal system: trigonal
E_tot (eV per cell): -91.46
E_form (uncorrected) (kJ/mol of atoms): -235.5
SG: R-3, No. 148



First-principles (GGA-PBE) data for DyCF after structural relaxation, as listed in Alexandria.

The structure in POSCAR format:
```
DyCF
1.0
6.520 0.000 0.000
0.000 6.773 0.000
0.000 0.000 3.746
Dy C F
4 4 4
Direct
0.230 0.025 0.250
0.230 0.475 0.750
0.770 0.525 0.250
0.770 0.975 0.750
0.034 0.750 0.000
0.034 0.750 0.500
0.966 0.250 0.000
0.966 0.250 0.500
0.415 0.107 0.750
0.415 0.393 0.250
0.585 0.607 0.750
0.585 0.893 0.250
```

Values from the calculation:
Crystal system: orthorhombic
E_tot (eV per cell): -80.50
E_form (uncorrected) (kJ/mol of atoms): -142.4
Energy above the lowest structure with this stoichiometry (meV/atom): 504
SG: Pbcm, No. 57